Compound: Er8FeBi2
Source: the Alexandria database
Functional: PBE
Structure: relaxed

Properties
As for the space group: C2/m, No. 12. The density of states at the Fermi level is 10.06 states/eV/f.u. The value obtained for the total energy is -0.3677 Ry/atom. As for the energy relative to the elements: -210 meV/atom. As for the total magnetization: 0.0 μB per cell.

a = 5.4163 Å, b = 6.6840 Å, c = 9.8042 Å
α = 115.62°, β = 106.04°, γ = 90.00°
Atoms (fractional coordinates):
Er 0.4117 0.5674 0.8235
Er 0.6359 0.9919 0.2718
Er 0.7948 0.6788 0.5895
Er 0.9913 0.2181 0.9825
Er 0.2052 0.3212 0.4105
Er 0.3641 0.0081 0.7282
Er 0.5883 0.4326 0.1765
Er 0.0087 0.7819 0.0175
Fe 0.5000 0.0000 0.0000
Bi 0.8308 0.2583 0.6615
Bi 0.1692 0.7417 0.3385